# NiSb2Pd

NiSb2Pd after structural relaxation (PBE, OQMD).

The value obtained for the total energy is -19.4 eV/f.u. Its density is 8.96 g/cm³. The space group is No. 187.

Lattice parameters (Å, degrees): 3.3576 3.3576 7.7594 90.00 90.00 120.00
Closest atoms and distances in Å follow each position.
Fractional coordinates of all 4 atoms:
Sb 0.6667 0.3333 0.2678  3 Ni 2.65, 3 Pd 2.84
Pd 0.0000 0.0000 0.0000  6 Sb 2.84
Sb 0.6667 0.3333 0.7322  3 Ni 2.65, 3 Pd 2.84
Ni 0.3333 0.6667 0.5000  6 Sb 2.65

# LaPmNO

LaPmNO after structural relaxation (PBE, OQMD).

The value obtained for the total energy is -29.6 eV/f.u. Its density is 6.46 g/cm³. The space group is No. 129. Its offset from the most stable computed form is 0.428 eV/atom.

Lattice parameters (Å, degrees): 4.3255 4.3255 8.6229 90.00 90.00 90.00
Closest atoms and distances in Å follow each position.
Fractional coordinates of all 8 atoms:
N 0.0000 0.5000 0.3680  4 Pm 2.44
Pm 0.5000 0.5000 0.5000  4 N 2.44
O 0.0000 0.0000 0.0000  4 La 2.40
Pm 0.0000 0.0000 0.5000  4 N 2.44
O 0.5000 0.5000 0.0000  4 La 2.40
La 0.5000 0.0000 0.1213  4 O 2.40
La 0.0000 0.5000 0.8787  4 O 2.40
N 0.5000 0.0000 0.6320  4 Pm 2.44

# SrNbCuNi

SrNbCuNi after structural relaxation (PBE, OQMD).

The value obtained for the total energy is -18.9 eV/f.u. Its density is 6.57 g/cm³. The space group is No. 216. Its offset from the most stable computed form is 0.000 eV/atom.

Lattice parameters (Å, degrees): 4.7647 4.7647 4.7647 60.00 60.00 60.00
Closest atoms and distances in Å follow each position.
Fractional coordinates of all 4 atoms:
Cu 0.7500 0.7500 0.7500  4 Nb 2.92, 4 Sr 2.92
Sr 0.0000 0.0000 0.0000  4 Ni 2.92, 4 Cu 2.92
Ni 0.2500 0.2500 0.2500  4 Sr 2.92, 4 Nb 2.92
Nb 0.5000 0.5000 0.5000  4 Cu 2.92, 4 Ni 2.92

# Cs2LiZrF6

Cs2LiZrF6 after structural relaxation (PBE, OQMD).

The value obtained for the total energy is -52.8 eV/f.u. Its density is 5.34 g/cm³. The space group is No. 166.

Lattice parameters (Å, degrees): 5.9746 5.9746 5.9746 59.39 59.39 59.39
Closest atoms and distances in Å follow each position.
Fractional coordinates of all 10 atoms:
F 0.7510 0.2535 0.2535  1 Li 2.07, 1 Zr 2.13
F 0.2490 0.7465 0.7465  1 Li 2.07, 1 Zr 2.13
Zr 0.0000 0.0000 0.0000  6 F 2.13
Cs 0.2519 0.2519 0.2519  12 F 2.96-2.99
F 0.7465 0.2490 0.7465  1 Li 2.07, 1 Zr 2.13
F 0.2535 0.2535 0.7510  1 Li 2.07, 1 Zr 2.13
Li 0.5000 0.5000 0.5000  6 F 2.07
Cs 0.7481 0.7481 0.7481  12 F 2.96-2.99
F 0.7465 0.7465 0.2490  1 Li 2.07, 1 Zr 2.13
F 0.2535 0.7510 0.2535  1 Li 2.07, 1 Zr 2.13

# GaAgB

GaAgB after structural relaxation (PBE, OQMD).

The value obtained for the total energy is -9.7 eV/f.u. Its density is 6.60 g/cm³. The space group is No. 216. Its offset from the most stable computed form is 0.000 eV/atom.

Lattice parameters (Å, degrees): 4.0617 4.0617 4.0617 60.00 60.00 60.00
Closest atoms and distances in Å follow each position.
Fractional coordinates of all 3 atoms:
Ga 0.0000 0.0000 0.0000  4 B 2.49, 4 Ag 2.49
B 0.7500 0.7500 0.7500  4 Ga 2.49
Ag 0.2500 0.2500 0.2500  4 Ga 2.49

# LiAgO2

LiAgO2 after structural relaxation (PBE, OQMD).

The value obtained for the total energy is -17.4 eV/f.u. Its density is 5.99 g/cm³. The space group is No. 141.

Lattice parameters (Å, degrees): 5.2815 5.2815 5.2815 131.30 131.30 71.34
Closest atoms and distances in Å follow each position.
Fractional coordinates of all 8 atoms:
O 0.5028 0.0028 0.5000  3 Ag 2.12-2.18, 3 Li 2.17-2.18
Li 0.2500 0.7500 0.5000  6 O 2.17-2.18
Ag 0.0000 0.0000 0.0000  6 O 2.12-2.18
O 0.7528 0.7528 0.0000  3 Ag 2.12-2.18, 3 Li 2.17-2.18
Li 0.5000 0.5000 0.0000  6 O 2.17-2.18
O 0.2472 0.2472 0.0000  3 Ag 2.12-2.18, 3 Li 2.17-2.18
Ag 0.7500 0.2500 0.5000  6 O 2.12-2.18
O 0.9972 0.4972 0.5000  3 Ag 2.12-2.18, 3 Li 2.17-2.18